The following is a SCAN calculation of a crystal of Fe2ReMo relaxed with PBEsol, from Alexandria via LeMat-Bulk.

a b c (Å): 2.5664 4.1979 4.8977
angles (deg): 90.00 99.03 90.00
Closest atoms and distances in Å follow each position.
Sites, in units of the cell vectors:
Fe1 0.0000 0.0000 0.0000  4 Fe 2.49-2.57, 2 Re 2.51-2.66, 2 Mo 2.58
Fe2 0.1945 0.5000 0.7617  4 Fe 2.49-2.57, 2 Mo 2.53-2.63, 2 Re 2.57
Re1 0.4784 0.0000 0.5223  4 Fe 2.51-2.66, 2 Re 2.57, 2 Mo 2.62
Mo1 0.7164 0.5000 0.2450  5 Fe 2.53-2.83, 2 Mo 2.57, 2 Re 2.62

Space group: Pm (6)
Total moment: 4.76 μB/f.u.
Calculated density: 12.55 g/cm3
E_form: 7 kJ/mol of formula units
Calculated total energy: -2.612 Ry/atom

The following is a SCAN calculation of a crystal of Tc2HgCl relaxed with PBEsol, from Alexandria via LeMat-Bulk.

a b c (Å): 4.5113 4.5113 4.5113
angles (deg): 60.00 60.00 60.00
Closest atoms and distances in Å follow each position.
Sites, in units of the cell vectors:
Tc1 0.0000 0.0000 0.0000  4 Hg 2.76, 4 Tc 2.76
Tc2 0.2500 0.2500 0.2500  4 Cl 2.76, 4 Tc 2.76
Hg1 0.7500 0.7500 0.7500  4 Cl 2.76, 4 Tc 2.76
Cl1 0.5000 0.5000 0.5000  4 Hg 2.76, 4 Tc 2.76

Space group: F-43m (216)
Total moment: 1.02 μB/f.u.
Calculated density: 11.05 g/cm3
Formation energy from raw total energies: 1011 meV per atom
Calculated total energy: -2.613 Ry/atom
Energy above the most stable polymorph in this dataset: 1.03 eV per formula unit

The following is a SCAN calculation of a crystal of CdRhPb3 relaxed with PBEsol, from Alexandria via LeMat-Bulk.

a b c (Å): 5.3735 5.3735 5.3735
angles (deg): 90.00 90.00 90.00
Closest atoms and distances in Å follow each position.
Sites, in units of the cell vectors:
Cd1 0.0000 0.0000 0.0000  6 Pb 2.69
Rh1 0.5000 0.5000 0.5000  12 Pb 3.80
Pb1 0.0000 0.0000 0.5000  2 Cd 2.69
Pb2 0.0000 0.5000 0.0000  2 Cd 2.69
Pb3 0.5000 0.0000 0.0000  2 Cd 2.69

Space group: Pm-3m (221)
Total moment: 0.00 μB/f.u.
Calculated density: 8.96 g/cm3
E_form: 537 kJ/mol of formula units
Calculated total energy: -4.204 Ry/atom

The following is a SCAN calculation of a crystal of LiSi2Tc relaxed with PBEsol, from Alexandria via LeMat-Bulk.

a b c (Å): 2.6216 2.6216 8.0485
angles (deg): 90.00 90.00 90.00
Closest atoms and distances in Å follow each position.
Sites, in units of the cell vectors:
Li1 0.0000 0.0000 0.0000  4 Li 2.62, 4 Si 2.73, 4 Tc 2.87
Si1 0.0000 0.0000 0.5083  4 Tc 2.56, 8 Si 2.62-2.79
Si2 0.5000 0.5000 0.2496  8 Si 2.62-2.79, 4 Li 2.73
Tc1 0.5000 0.5000 0.7280  4 Si 2.56, 4 Tc 2.62, 4 Li 2.87

Space group: P4mm (99)
Total moment: 0.73 μB/f.u.
Calculated density: 4.84 g/cm3
Formation energy from raw total energies: 282 meV per atom
Calculated total energy: -1.035 Ry/atom
Energy above the most stable polymorph in this dataset: 1.95 eV per formula unit

The following is a SCAN calculation of a crystal of LiPb3 relaxed with PBEsol, from Alexandria via LeMat-Bulk.

a b c (Å): 3.4491 3.4491 10.3880
angles (deg): 90.00 90.00 120.00
Closest atoms and distances in Å follow each position.
Sites, in units of the cell vectors:
Li1 0.0000 0.0000 0.0000  6 Pb 3.07
Pb1 0.0000 0.0000 0.5000  12 Pb 3.45-3.48
Pb2 0.3333 0.6667 0.2255  3 Li 3.07
Pb3 0.3333 0.6667 0.7745  3 Li 3.07

Space group: P-6m2 (187)
Total moment: 0.00 μB/f.u.
Calculated density: 9.75 g/cm3
E_form: -48 kJ/mol of formula units
Calculated total energy: -4.230 Ry/atom

The following is a SCAN calculation of a crystal of NdP2Pd2 relaxed with PBEsol, from Alexandria via LeMat-Bulk.

a b c (Å): 5.7213 5.7213 5.7213
angles (deg): 138.00 138.00 60.90
Closest atoms and distances in Å follow each position.
Sites, in units of the cell vectors:
Nd1 0.0000 0.0000 0.0000  8 P 3.11, 8 Pd 3.21
P1 0.3866 0.3866 0.0000  1 P 2.24, 4 Pd 2.45
P2 0.6134 0.6134 0.0000  1 P 2.24, 4 Pd 2.45
Pd1 0.2500 0.7500 0.5000  4 P 2.45
Pd2 0.7500 0.2500 0.5000  4 P 2.45

Space group: I4/mmm (139)
Total moment: 0.00 μB/f.u.
Calculated density: 8.39 g/cm3
E_form: -506 kJ/mol of formula units
Calculated total energy: -1.987 Ry/atom

The following is a SCAN calculation of a crystal of Fe3Re relaxed with PBEsol, from Alexandria via LeMat-Bulk.

a b c (Å): 4.7335 4.7335 4.7335
angles (deg): 144.67 129.05 63.52
Closest atoms and distances in Å follow each position.
Sites, in units of the cell vectors:
Fe1 0.0000 0.0000 0.0000  4 Fe 2.43, 4 Re 2.49
Fe2 0.2441 0.7441 0.5000  6 Fe 2.43-2.49, 2 Re 2.51
Fe3 0.7559 0.2559 0.5000  6 Fe 2.43-2.49, 2 Re 2.51
Re1 0.5000 0.5000 0.0000  8 Fe 2.49-2.51

Space group: Immm (71)
Total moment: 6.78 μB/f.u.
Calculated density: 12.48 g/cm3
E_form: 7 kJ/mol of formula units
Calculated total energy: -2.304 Ry/atom

The following is a SCAN calculation of a crystal of SnCSN2 relaxed with PBEsol, from Alexandria via LeMat-Bulk.

a b c (Å): 3.6841 3.6841 3.8903
angles (deg): 90.00 90.00 90.00
Closest atoms and distances in Å follow each position.
Sites, in units of the cell vectors:
Sn1 0.0000 0.0000 0.0000  4 S 2.61, 8 N 2.68
C1 0.5000 0.5000 0.5000  4 N 1.84, 2 S 1.95
S1 0.5000 0.5000 0.0000  2 C 1.95
N1 0.0000 0.5000 0.5000  2 C 1.84
N2 0.5000 0.0000 0.5000  2 C 1.84

Space group: P4/mmm (123)
Total moment: 0.01 μB/f.u.
Calculated density: 6.00 g/cm3
Formation energy from raw total energies: 2103 meV per atom
Calculated total energy: -0.937 Ry/atom

The following is a SCAN calculation of a crystal of Nd3Er relaxed with PBEsol, from Alexandria via LeMat-Bulk.

a b c (Å): 7.1767 7.1767 5.7582
angles (deg): 90.00 90.00 120.00
Closest atoms and distances in Å follow each position.
Sites, in units of the cell vectors:
Nd1 0.1673 0.3346 0.2500  4 Er 3.54-3.59, 8 Nd 3.55-3.60
Nd2 0.1673 0.8327 0.2500  4 Er 3.54-3.59, 8 Nd 3.55-3.60
Nd3 0.3346 0.1673 0.7500  4 Er 3.54-3.59, 8 Nd 3.55-3.60
Nd4 0.6654 0.8327 0.2500  4 Er 3.54-3.59, 8 Nd 3.55-3.60
Nd5 0.8327 0.1673 0.7500  4 Er 3.54-3.59, 8 Nd 3.55-3.60
Nd6 0.8327 0.6654 0.7500  4 Er 3.54-3.59, 8 Nd 3.55-3.60
Er1 0.3333 0.6667 0.7500  12 Nd 3.54-3.59
Er2 0.6667 0.3333 0.2500  12 Nd 3.54-3.59

Space group: P6_3/mmc (194)
Total moment: 0.00 μB/f.u.
Calculated density: 7.76 g/cm3
E_form: 10 kJ/mol of formula units
Calculated total energy: -3.325 Ry/atom

The following is a SCAN calculation of a crystal of BiSeClO3 relaxed with PBEsol, from Alexandria via LeMat-Bulk.

a b c (Å): 6.4123 7.9010 8.7020
angles (deg): 90.00 90.00 90.00
Closest atoms and distances in Å follow each position.
Sites, in units of the cell vectors:
Bi1 0.0289 0.1946 0.3284  4 O 2.22-2.47
Bi2 0.4711 0.8054 0.8284  4 O 2.22-2.47
Bi3 0.5289 0.3054 0.6716  4 O 2.22-2.47
Bi4 0.9711 0.6946 0.1716  4 O 2.22-2.47
Se1 0.1499 0.0924 0.9543  3 O 1.72-1.75
Se2 0.3501 0.9076 0.4543  3 O 1.72-1.75
Se3 0.6499 0.4076 0.0457  3 O 1.72-1.75
Se4 0.8501 0.5924 0.5457  3 O 1.72-1.75
Cl1 0.2488 0.5121 0.8553  2 Bi 2.73-2.91
Cl2 0.2512 0.4879 0.3553  2 Bi 2.73-2.91
Cl3 0.7488 0.9879 0.1447  2 Bi 2.73-2.91
Cl4 0.7512 0.0121 0.6447  2 Bi 2.73-2.91
O1 0.1183 0.8917 0.3519  1 Se 1.74
O2 0.1685 0.8722 0.9707  1 Se 1.75
O3 0.2417 0.1587 0.1299  1 Se 1.72
O4 0.2583 0.8413 0.6299  1 Se 1.72
O5 0.3315 0.1278 0.4707  1 Se 1.75
O6 0.3817 0.1083 0.8519  1 Se 1.74
O7 0.6183 0.6083 0.6481  1 Se 1.74
O8 0.6685 0.6278 0.0293  1 Se 1.75
O9 0.7417 0.3413 0.8701  1 Se 1.72
O10 0.7583 0.6587 0.3701  1 Se 1.72
O11 0.8315 0.3722 0.5293  1 Se 1.75
O12 0.8817 0.3917 0.1481  1 Se 1.74

Space group: P2_12_12_1 (19)
Total moment: 0.00 μB/f.u.
Calculated density: 5.60 g/cm3
Formation energy from raw total energies: -1041 meV per atom
Calculated total energy: -1.612 Ry/atom

The following is a SCAN calculation of a crystal of TaSb2AuI relaxed with PBEsol, from Alexandria via LeMat-Bulk.

a b c (Å): 5.3076 5.3076 5.2855
angles (deg): 90.00 90.00 90.00
Closest atoms and distances in Å follow each position.
Sites, in units of the cell vectors:
Ta1 0.0000 0.0000 0.0000  2 I 2.64, 4 Sb 2.65
Sb1 0.0000 0.5000 0.0000  2 Ta 2.65
Sb2 0.5000 0.0000 0.0000  2 Ta 2.65
Au1 0.5000 0.5000 0.5000  8 Sb 3.75, 4 I 3.75
I1 0.0000 0.0000 0.5000  2 Ta 2.64

Space group: P4/mmm (123)
Total moment: 0.00 μB/f.u.
Calculated density: 8.35 g/cm3
Formation energy from raw total energies: 703 meV per atom
Calculated total energy: -3.579 Ry/atom

The following is a SCAN calculation of a crystal of In3Pb relaxed with PBEsol, from Alexandria via LeMat-Bulk.

a b c (Å): 4.7333 4.7333 4.7333
angles (deg): 90.00 90.00 90.00
Closest atoms and distances in Å follow each position.
Sites, in units of the cell vectors:
In1 0.0000 0.0000 0.5000  8 In 3.35, 4 Pb 3.35
In2 0.0000 0.5000 0.0000  8 In 3.35, 4 Pb 3.35
In3 0.5000 0.0000 0.0000  8 In 3.35, 4 Pb 3.35
Pb1 0.5000 0.5000 0.5000  12 In 3.35

Space group: Pm-3m (221)
Total moment: 0.00 μB/f.u.
Calculated density: 8.64 g/cm3
E_form: 29 kJ/mol of formula units
Calculated total energy: -3.227 Ry/atom